The following is a DFT calculation (GGA-PBE) of a relaxed PmNd5Er6 crystal.

Calculated values
The value obtained for the total energy is -4.65 eV per atom. The value obtained for the formation energy from the elements is 0.02 eV/atom. Its space-group type is Immm.

POSCAR file:
```
PmNd5Er6
1.0
-4.122 2.309 -1.948
4.294 -0.001 -9.082
-3.208 -7.971 4.039
Nd Er Pm
5 6 1
direct
0.000 0.500 0.000
0.666 0.166 0.333
0.333 0.333 0.666
0.334 0.834 0.667
0.667 0.667 0.334
0.834 0.083 0.667
0.500 0.750 0.000
0.500 0.250 0.000
0.167 0.416 0.333
0.166 0.917 0.333
0.833 0.584 0.667
0.000 0.000 0.000
```

=====

The following is a DFT calculation (GGA-PBE) of a relaxed HfScS2N crystal.

Calculated values
The value obtained for the total energy is -7.36 eV per atom. For the uncorrected formation energy, the calculation gives -380 kJ/mol of formula units. Its space-group type is P4/mmm.

POSCAR file:
```
HfScS2N
1.0
4.956 0.000 0.000
0.000 4.956 0.000
0.000 0.000 3.992
Sc Hf S N
1 1 2 1
direct
0.500 0.500 0.500
0.000 0.000 0.000
0.500 0.000 0.000
0.000 0.500 0.000
0.000 0.000 0.500
```